Dy3Ga2Co | PBE | relaxed

Lattice parameters (Å, degrees): 11.736 4.316 10.663 90.00 90.00 90.00
Space group Pnma (No. 62)
One atom of each set of equivalent atoms:
Dy1 0.052 0.250 0.122 (multiplicity 4)
Dy2 0.116 0.750 0.561 (multiplicity 4)
Dy3 0.232 0.250 0.798 (multiplicity 4)
Ga1 0.015 0.750 0.305 (multiplicity 4)
Ga2 0.201 0.750 0.997 (multiplicity 4)
Co1 0.118 0.250 0.373 (multiplicity 4)

uncorrected energy = -119.463 eV/cell
formation energy = -483 meV per atom


Na2ScHgRu | PBE | relaxed

Lattice parameters (Å, degrees): 5.071 5.071 5.237 90.00 90.00 90.00
Space group P4/mmm (No. 123)
One atom of each set of equivalent atoms:
Na1 0.000 0.500 0.000 (multiplicity 2)
Sc1 0.000 0.000 0.500 (multiplicity 1)
Hg1 0.500 0.500 0.500 (multiplicity 1)
Ru1 0.500 0.500 0.000 (multiplicity 1)

uncorrected energy = -13.712 eV/cell
energy above the most stable polymorph in this dataset = 0.081 eV per atom
formation energy = 967 meV per atom


CaTa2H | PBE | relaxed

Lattice parameters (Å, degrees): 5.987 5.987 8.445 90.00 90.00 90.00
Space group I4_1/amd (No. 141, origin choice 2)
One atom of each set of equivalent atoms:
Ca1 0.000 0.250 0.375 (multiplicity 4)
Ta1 0.000 0.000 0.000 (multiplicity 8)
H1 0.000 0.250 0.875 (multiplicity 4)

uncorrected energy = -110.750 eV/cell
energy above the most stable polymorph in this dataset = 0.000 eV per atom


NaNb3Cd | PBE | relaxed

Lattice parameters (Å, degrees): 4.727 4.727 4.727 90.00 90.00 90.00
Space group Pm-3m (No. 221)
One atom of each set of equivalent atoms:
Na1 0.000 0.000 0.000 (multiplicity 1)
Nb1 0.000 0.000 0.500 (multiplicity 3)
Cd1 0.500 0.500 0.500 (multiplicity 1)

uncorrected energy = -22.753 eV/cell
energy above the most stable polymorph in this dataset = 0.000 eV per atom
formation energy = 1938 meV per atom


Ce2Ni4Ge | PBE | relaxed

Lattice parameters (Å, degrees): 4.016 19.398 2.870 90.00 90.00 90.00
Space group Cmmm (No. 65)
One atom of each set of equivalent atoms:
Ce1 0.000 0.200 0.000 (multiplicity 4)
Ni1 0.000 0.070 0.500 (multiplicity 4)
Ni2 0.000 0.400 0.000 (multiplicity 4)
Ge1 0.000 0.500 0.500 (multiplicity 2)

uncorrected energy = -80.023 eV/cell
formation energy = -57 meV per atom


Ac3Pb5 | PBE | relaxed

Lattice parameters (Å, degrees): 9.744 10.945 5.147 90.00 90.00 90.00
Space group Cmmm (No. 65)
One atom of each set of equivalent atoms:
Ac1 0.000 0.000 0.000 (multiplicity 2)
Ac2 0.000 0.282 0.500 (multiplicity 4)
Pb1 0.000 0.500 0.000 (multiplicity 2)
Pb2 0.236 0.000 0.500 (multiplicity 4)
Pb3 0.250 0.250 0.000 (multiplicity 4)

uncorrected energy = -68.942 eV/cell
formation energy = -451 meV per atom


Ce9Ga2Pb | PBE | relaxed

Lattice parameters (Å, degrees): 4.707 4.707 14.110 90.00 90.00 90.00
Space group P4/mmm (No. 123)
One atom of each set of equivalent atoms:
Ce1 0.000 0.000 0.000 (multiplicity 1)
Ce2 0.000 0.000 0.341 (multiplicity 2)
Ce3 0.000 0.500 0.177 (multiplicity 4)
Ce4 0.000 0.500 0.500 (multiplicity 2)
Ga1 0.500 0.500 0.337 (multiplicity 2)
Pb1 0.500 0.500 0.000 (multiplicity 1)

uncorrected energy = -66.170 eV/cell
formation energy = -250 meV per atom